Na3HfU2Te6 (GGA-PBE, relaxed); density = 6.7 g/cm3; raw formation energy = -9.4 eV/f.u.; E = -64.72 eV per formula unit
1.0
-6.515 1.313 3.339
2.960 -6.821 0.172
4.892 3.612 5.355
Te Na U Hf
6 3 2 1
Cartesian
-1.201 0.830 2.572
1.799 -1.746 1.569
2.537 -2.725 6.294
2.906 1.461 4.943
-1.570 -3.356 3.923
-0.463 -0.149 7.297
-2.437 1.718 5.471
0.668 -0.948 4.433
3.773 -3.614 3.395
-0.204 -4.105 1.230
-3.351 -1.403 2.281
0.000 0.000 0.000